Record 1
Density functional theory data (PBE-GGA) for crystalline K2Zn2Au at its relaxed geometry.

## Properties
SG ... Cmcm
ΔE_f ... -44 kJ/mol of formula units
Magnetization ... 0.00 μB per atom

Structure (POSCAR):
```
K2Zn2Au
1.0
5.2771 -3.9003 0.0000
5.2771 3.9003 0.0000
0.0000 0.0000 7.6051
K Zn Au
4 4 2
Cartesian
2.0111 0.0000 0.0000
2.0111 0.0000 3.8025
8.5432 0.0000 0.0000
8.5432 0.0000 3.8025
5.2771 1.1585 4.4679
5.2771 1.1585 6.9397
5.2771 -1.1585 0.6654
5.2771 -1.1585 3.1372
5.2771 1.2582 1.9013
5.2771 -1.2582 5.7038
```

***

Record 2
Density functional theory data (PBE-GGA) for crystalline ReNiOs at its relaxed geometry.

## Properties
SG ... Fmm2
ΔE_f ... 121 kJ/mol of formula units
Magnetization ... 0.04 μB per atom

Structure (POSCAR):
```
ReNiOs
1.0
2.8279 0.0000 0.0000
0.0000 4.4936 0.0000
0.0000 0.0000 13.1911
Re Ni Os
4 4 4
Cartesian
0.0000 0.0000 0.0000
0.0000 2.2468 6.5956
1.4139 0.0000 6.5956
1.4139 2.2468 0.0000
0.0000 0.0000 4.4411
0.0000 2.2468 11.0366
1.4139 0.0000 11.0366
1.4139 2.2468 4.4411
0.0000 0.0000 8.8409
0.0000 2.2468 2.2453
1.4139 0.0000 2.2453
1.4139 2.2468 8.8409
```

***

Record 3
Density functional theory data (PBE-GGA) for crystalline Tb8ErSc2 at its relaxed geometry.

## Properties
SG ... Immm
ΔE_f ... 131 kJ/mol of formula units
Magnetization ... 0.00 μB per atom

Structure (POSCAR):
```
Tb8ErSc2
1.0
-2.6877 4.1146 7.7237
2.6877 -4.1146 7.7237
2.6877 4.1146 -7.7237
Tb Er Sc
8 1 2
Cartesian
2.6877 2.4356 -2.1991
0.0000 0.0000 2.4965
0.0000 2.4711 0.0000
2.6877 2.4356 2.1991
0.0000 1.6790 5.5246
0.0000 5.7581 0.0000
0.0000 0.0000 12.9510
0.0000 1.6790 9.9229
2.6877 0.0000 0.0000
2.6877 0.0000 4.6113
0.0000 4.1146 3.1124
```

***

Record 4
Density functional theory data (PBE-GGA) for crystalline MoIrPt2 at its relaxed geometry.

## Properties
SG ... C2/m
ΔE_f ... -54 kJ/mol of formula units
Magnetization ... 0.00 μB per atom

Structure (POSCAR):
```
MoIrPt2
1.0
9.2872 0.0000 0.0000
0.0000 2.7902 0.0000
-0.8492 0.0000 4.7197
Mo Ir Pt
2 2 4
Cartesian
0.0000 0.0000 0.0000
4.6436 1.3951 0.0000
-0.4246 1.3951 2.3598
4.2190 0.0000 2.3598
1.6857 0.0000 3.5528
2.1087 1.3951 1.1669
6.7523 0.0000 1.1669
6.3293 1.3951 3.5528
```

***

Record 5
Density functional theory data (PBE-GGA) for crystalline Na3Bi4Sb2 at its relaxed geometry.

## Properties
SG ... P-1
Magnetization ... 0.00 μB per atom
Formation energy from raw total energies ... -147 meV/atom

Structure (POSCAR):
```
Na3Bi4Sb2
1.0
5.9006 0.0000 0.0000
-2.8803 5.5956 0.0000
-0.0206 -2.6879 8.6975
Na Bi Sb
3 4 2
Cartesian
0.0000 0.0000 0.0000
0.0531 3.2907 5.9106
2.9466 -0.3831 2.7870
0.0127 -0.0209 5.4271
0.0141 0.7546 8.5594
2.9856 2.1531 0.1381
2.9871 2.9286 3.2704
0.0313 1.8412 2.8188
2.9685 1.0664 5.8788
```

***

Record 6
Density functional theory data (PBE-GGA) for crystalline Y5HoZn6 at its relaxed geometry.

## Properties
SG ... Cmmm
ΔE_f ... -414 kJ/mol of formula units
Magnetization ... 0.00 μB per atom

Structure (POSCAR):
```
Y5HoZn6
1.0
2.5265 -7.5841 0.0000
2.5265 7.5841 0.0000
0.0000 0.0000 7.1650
Y Ho Zn
5 1 6
Cartesian
0.0000 0.0000 0.0000
2.5265 2.5315 0.0000
2.5265 2.5225 3.5825
2.5265 -2.5225 3.5825
2.5265 -2.5315 0.0000
0.0000 0.0000 3.5825
2.5265 5.0650 1.8007
2.5265 5.0650 5.3643
2.5265 0.0000 1.8021
2.5265 0.0000 5.3629
2.5265 -5.0650 1.8007
2.5265 -5.0650 5.3643
```